The following is a DFT calculation (PBE-GGA) of RbAlI2 after structural relaxation.

Output
The calculation puts the spin magnetization at 0.00 μB per cell. The formation energy without anion corrections comes out at -0.6121 eV/atom. As for the energy: -0.094 hartree per atom. The calculated volume comes out at 60.4 Å³/atom.

abc: 7.517 7.517 10.072
angles: 68.09 68.09 90.00
Fractional positions:
I1 0.575 0.125 0.250
I2 0.175 0.625 0.250
I3 0.375 0.425 0.750
I4 0.875 0.825 0.750
Al1 0.500 0.500 0.000
Al2 0.250 0.750 0.500
Rb1 0.000 0.000 0.000
Rb2 0.750 0.250 0.500



The following is a DFT calculation (PBE-GGA) of Zn2CoSi after structural relaxation.

Output
The calculation puts the spin magnetization at 0.00 μB per cell. The formation energy without anion corrections comes out at 0.0775 eV/atom. As for the energy: -0.136 hartree per atom. The calculated volume comes out at 13.1 Å³/atom.

abc: 4.490 4.490 2.841
angles: 90.00 90.00 114.22
Fractional positions:
Co1 0.500 0.000 0.500
Si1 0.000 0.500 0.500
Zn1 0.000 0.000 0.000
Zn2 0.500 0.500 0.000